(1)
This record from the Alexandria database describes crystalline LiPdCl at its relaxed geometry. The functional is GGA-PBE.

The structure in POSCAR format:
```
LiPdCl
1.0
-1.682 1.505 -3.246
-1.881 -2.774 2.096
-4.081 6.717 5.230
Cl Pd Li
2 2 2
direct
0.000 0.000 0.250 Cl
0.000 0.000 0.750 Cl
0.000 0.000 0.000 Pd
0.000 0.000 0.500 Pd
0.667 0.333 0.750 Li
0.333 0.667 0.250 Li
```

Crystal system: hexagonal
SG: P6_3/mmc, No. 194
Formation energy from raw total energies, meV per atom: -565
V, Å³ per cell: 127.8
Excess energy over the best structure of this formula in the dataset, kJ/mol of formula units: 79
D(E_F), states/eV/f.u.: 0.46

(2)
This record from the Alexandria database describes crystalline LiPdCl at its relaxed geometry. The functional is GGA-PBE.

The structure in POSCAR format:
```
LiPdCl
1.0
14.673 0.000 0.021
6.593 2.339 -1.470
-6.593 2.339 1.470
Li Cl Pd
2 2 2
direct
0.833 0.339 0.661 Li
0.167 0.661 0.339 Li
0.818 0.862 0.138 Cl
0.182 0.138 0.862 Cl
0.000 0.500 0.500 Pd
0.500 0.500 0.500 Pd
```

Crystal system: monoclinic
SG: C2/m, No. 12
Formation energy from raw total energies, meV per atom: -767
V, Å³ per cell: 101.5
Excess energy over the best structure of this formula in the dataset, kJ/mol of formula units: 21
D(E_F), states/eV/f.u.: 0.74